In2RePbO8 (PBE, optimized geometry); E_tot = -6.488 eV/atom; formation energy (no corrections) = -1.38 eV per atom; symmetry = No. 65
1.0
3.4269 -3.5132 0.0000
3.4269 3.5132 0.0000
0.0000 0.0000 6.7522
In Re Pb O
2 1 1 8
Cartesian
0.0000 0.0000 1.6482
0.0000 0.0000 5.1040
3.4269 0.0000 0.0000
3.4269 0.0000 3.3761
1.2678 0.0000 3.3761
1.4852 0.0000 0.0000
3.4269 1.3008 1.3857
3.4269 1.3008 5.3665
3.4269 -1.3008 1.3857
3.4269 -1.3008 5.3665
5.3686 0.0000 0.0000
5.5861 0.0000 3.3761